--- A ---
PBE-GGA NaTlTe, relaxed; total magnetization = 0.00 Bohr magnetons per cell
1.0
5.2971 0.0000 0.0000
0.0000 4.8406 0.0000
0.0000 -2.4203 4.1921
Tl Te Na
1 1 1
direct
0.2912 0.6667 0.3333
0.9748 0.0000 0.0000
0.7341 0.3333 0.6667

=====

--- B ---
PBE-GGA NaTlTe, relaxed; total magnetization = 0.00 Bohr magnetons per cell
1.0
-4.6531 2.5088 1.2426
-4.5989 -1.4036 -2.5239
-1.3037 -4.9613 5.1348
Tl Te Na
2 2 2
direct
0.0000 0.5000 0.5000
0.0000 0.5000 0.0000
0.6666 0.1666 0.7500
0.3334 0.8334 0.2500
0.3334 0.8334 0.7500
0.6666 0.1666 0.2500

=====

--- C ---
PBE-GGA NaTlTe, relaxed; total magnetization = 0.00 Bohr magnetons per cell
1.0
-4.3224 2.4779 -1.1340
-2.7130 -4.1133 1.3527
-0.3847 2.6150 7.1803
Tl Na Te
2 2 2
direct
0.0000 0.5000 0.8414
0.5000 0.0000 0.1586
0.5000 0.5000 0.5000
0.0000 0.0000 0.5000
0.0000 0.5000 0.2601
0.5000 0.0000 0.7399

=====

Verdict on stability: C comes out on top.

=====

--- A ---
PBE-GGA Na3TlTe2, relaxed; total magnetization = 0.00 Bohr magnetons per cell
1.0
7.8246 0.0000 0.0000
0.0000 7.2106 0.0000
-3.9123 -3.6053 7.8050
Na Te Tl
6 4 2
direct
0.2339 0.9839 0.4678
0.5000 0.7500 0.0000
0.7661 0.5161 0.5322
0.7661 0.0161 0.5322
0.5000 0.2500 0.0000
0.2339 0.4839 0.4678
0.4351 0.6404 0.2808
0.5649 0.3596 0.7192
0.8457 0.1404 0.2808
0.1543 0.8596 0.7192
0.0000 0.0000 0.0000
0.0000 0.5000 0.0000

=====

--- B ---
PBE-GGA Na3TlTe2, relaxed; total magnetization = 0.00 Bohr magnetons per cell
1.0
4.9394 0.0000 0.0000
-2.4697 9.9812 -2.3403
0.0000 0.8712 11.6738
Te Na Tl
6 9 3
direct
0.3576 0.7152 0.5326
0.1760 0.3519 0.1141
0.8240 0.6481 0.8859
0.4608 0.9216 0.2171
0.5392 0.0784 0.7829
0.6424 0.2848 0.4674
0.6797 0.3593 0.9458
0.3864 0.7728 0.8079
0.9451 0.8902 0.6823
0.7776 0.5552 0.6199
0.5000 0.0000 0.5000
0.6136 0.2272 0.1921
0.2224 0.4448 0.3801
0.3203 0.6407 0.0542
0.0549 0.1098 0.3177
0.1414 0.2827 0.6962
0.0000 0.0000 0.0000
0.8586 0.7173 0.3038

=====

Verdict on stability: B comes out on top.

=====

--- A ---
PBE-GGA NaTl2Te, relaxed; total magnetization = 0.00 Bohr magnetons per cell
1.0
-1.5051 2.3449 4.9556
-4.8441 -1.5658 2.5308
0.1546 -3.0895 4.7700
Tl Na Te
2 1 1
direct
0.7500 0.7500 0.7500
0.2500 0.2500 0.2500
0.0000 0.0000 0.0000
0.5000 0.5000 0.5000

=====

--- B ---
PBE-GGA NaTl2Te, relaxed; total magnetization = 0.00 Bohr magnetons per cell
1.0
-4.5922 -2.7434 -7.3532
2.7137 -8.5490 1.4947
-3.5432 -6.1552 -1.1131
Tl Na Te
4 2 2
direct
0.1093 0.6250 0.2500
0.3750 0.3593 0.7500
0.6407 0.1250 0.2500
0.8750 0.8907 0.7500
0.5000 0.5000 0.0000
0.2500 0.7500 0.5000
0.0000 0.0000 0.0000
0.7500 0.2500 0.5000

=====

Verdict on stability: B comes out on top.